1.
Here is a geometry-optimized CsYTcH2 structure from Alexandria via LeMat-Bulk. Energies are from GGA-PBE.

Theoretical density, g/cm³: 4.512
Size of the total moment, μB/atom: 0.593
Calculated total energy, eV/atom: -4.148

Unit cell a=4.644 b=5.491 c=4.644 alpha=90.00 beta=90.00 gamma=90.00
Last column: magnetic moment on the atom in μB.
Fractional coordinates of all 5 atoms:
H1 0.000 0.000 0.500  0.01
H2 0.500 0.000 0.000  0.01
Tc1 0.000 0.500 0.000  2.35
Cs1 0.500 0.500 0.500  0.09
Y1 0.000 0.000 0.000  -0.10


2.
Here is a geometry-optimized LaH4Pd structure from Alexandria via LeMat-Bulk. Energies are from GGA-PBE.

Theoretical density, g/cm³: 6.371
Size of the total moment, μB/atom: 0.000
Calculated total energy, eV/atom: -4.282

Unit cell a=6.502 b=6.739 c=4.779 alpha=112.24 beta=109.98 gamma=118.69
Fractional coordinates of all 12 atoms:
H1 0.259 0.430 0.594
H2 0.836 0.165 0.594
H3 0.164 0.835 0.406
H4 0.832 0.175 0.918
H5 0.168 0.825 0.082
H6 0.414 0.257 0.082
H7 0.741 0.570 0.406
H8 0.586 0.743 0.918
La1 0.620 0.370 0.740
La2 0.380 0.630 0.260
Pd1 0.125 0.875 0.749
Pd2 0.875 0.125 0.251


3.
Here is a geometry-optimized NaCeTl2Br8 structure from Alexandria via LeMat-Bulk. Energies are from GGA-PBE.

Theoretical density, g/cm³: 4.382
Size of the total moment, μB/atom: 0.000
E_form (uncorrected), eV per atom: -1.165

Unit cell a=7.216 b=6.880 c=9.247 alpha=90.01 beta=89.99 gamma=91.66
Fractional coordinates of all 12 atoms:
Br1 0.141 0.772 0.775
Br2 0.140 0.772 0.226
Br3 0.324 0.273 0.500
Br4 0.860 0.228 0.774
Br5 0.859 0.228 0.225
Br6 0.673 0.769 0.000
Br7 0.327 0.231 0.000
Br8 0.676 0.727 0.500
Ce1 0.000 0.000 0.000
Tl1 0.500 0.500 0.742
Tl2 0.500 0.500 0.258
Na1 0.000 0.000 0.500


Which of these has the lowest theoretical density?
NaCeTl2Br8


Look up the size of the total moment of the third one.
0.000 μB/atom